[1]
A plane-wave DFT calculation with PBE-GGA was carried out for Y2ScGa3Ge2Ir after structural relaxation.

## Properties
Total DFT energy (no corrections) in eV per atom: -5.962

```
data_Y2ScGa3Ge2Ir
_cell_length_a 4.164
_cell_length_b 11.871
_cell_length_c 6.967
_cell_angle_alpha 90.00
_cell_angle_beta 90.00
_cell_angle_gamma 90.00
_space_group_name_H-M_alt 'A m m 2'
_space_group_IT_number 38
loop_
_space_group_symop_operation_xyz
'x,y,z'
'-x,-y,z'
'-x,y,z'
'x,-y,z'
'x,y+1/2,z+1/2'
'-x,-y+1/2,z+1/2'
'-x,y+1/2,z+1/2'
'x,-y+1/2,z+1/2'
loop_
_atom_site_label
_atom_site_type_symbol
_atom_site_fract_x
_atom_site_fract_y
_atom_site_fract_z
_atom_site_occupancy
Y1 Y 0.000 0.206 0.000 1
Sc1 Sc 0.000 0.000 0.615 1
Ga1 Ga 0.500 0.000 0.977 1
Ga2 Ga 0.500 0.117 0.329 1
Ge1 Ge 0.500 0.161 0.708 1
Ir1 Ir 0.000 0.000 0.222 1
```

[2]
A plane-wave DFT calculation with PBE-GGA was carried out for NaHoNp after structural relaxation.

## Properties
Total DFT energy (no corrections) in eV per atom: -4.854
Polymorph energy (0 for the lowest one) in eV per formula unit: 0.000

```
data_NaHoNp
_cell_length_a 7.317
_cell_length_b 7.317
_cell_length_c 7.317
_cell_angle_alpha 90.00
_cell_angle_beta 90.00
_cell_angle_gamma 90.00
_space_group_name_H-M_alt 'F -4 3 m'
_space_group_IT_number 216
_space_group_name_Hall 'F -4 2 3'
loop_
_atom_site_label
_atom_site_type_symbol
_atom_site_fract_x
_atom_site_fract_y
_atom_site_fract_z
_atom_site_occupancy
Na1 Na 0.000 0.000 0.000 1
Ho1 Ho 0.250 0.250 0.750 1
Np1 Np 0.250 0.250 0.250 1
```

[3]
A plane-wave DFT calculation with PBE-GGA was carried out for Tc2Au2O5 after structural relaxation.

## Properties
Total DFT energy (no corrections) in eV per atom: -6.107
Polymorph energy (0 for the lowest one) in eV per formula unit: 0.000

```
data_Tc2Au2O5
_cell_length_a 3.804
_cell_length_b 3.804
_cell_length_c 8.020
_cell_angle_alpha 90.00
_cell_angle_beta 90.00
_cell_angle_gamma 90.00
_space_group_name_H-M_alt 'P 4/m m m'
_space_group_IT_number 123
_space_group_name_Hall '-P 4 2'
loop_
_atom_site_label
_atom_site_type_symbol
_atom_site_fract_x
_atom_site_fract_y
_atom_site_fract_z
_atom_site_occupancy
Tc1 Tc 0.000 0.000 0.241 1
Au1 Au 0.500 0.500 0.000 1
Au2 Au 0.500 0.500 0.500 1
O1 O 0.000 0.000 0.500 1
O2 O 0.000 0.500 0.235 1
```

[4]
A plane-wave DFT calculation with PBE-GGA was carried out for ScNbTc2 after structural relaxation.

## Properties
Total DFT energy (no corrections) in eV per atom: -9.340
Formation energy from the elements in eV/atom: -0.055
Polymorph energy (0 for the lowest one) in eV per formula unit: 0.849

```
data_ScNbTc2
_cell_length_a 6.387
_cell_length_b 6.387
_cell_length_c 6.387
_cell_angle_alpha 90.00
_cell_angle_beta 90.00
_cell_angle_gamma 90.00
_space_group_name_H-M_alt 'F -4 3 m'
_space_group_IT_number 216
_space_group_name_Hall 'F -4 2 3'
loop_
_atom_site_label
_atom_site_type_symbol
_atom_site_fract_x
_atom_site_fract_y
_atom_site_fract_z
_atom_site_occupancy
Sc1 Sc 0.000 0.000 0.000 1
Nb1 Nb 0.250 0.250 0.750 1
Tc1 Tc 0.000 0.000 0.500 1
Tc2 Tc 0.250 0.250 0.250 1
```

[5]
A plane-wave DFT calculation with PBE-GGA was carried out for Nd5Pt2 after structural relaxation.

## Properties
Total DFT energy (no corrections) in eV per atom: -5.832
Formation energy from the elements in eV/atom: -0.700

```
data_Nd5Pt2
_cell_length_a 17.138
_cell_length_b 6.755
_cell_length_c 7.255
_cell_angle_alpha 90.00
_cell_angle_beta 96.81
_cell_angle_gamma 90.00
_space_group_name_H-M_alt 'C 1 2/c 1'
_space_group_IT_number 15
loop_
_space_group_symop_operation_xyz
'x,y,z'
'-x,-y,-z'
'-x,y,-z+1/2'
'x,-y,z+1/2'
'x+1/2,y+1/2,z'
'-x+1/2,-y+1/2,-z'
'-x+1/2,y+1/2,-z+1/2'
'x+1/2,-y+1/2,z+1/2'
loop_
_atom_site_label
_atom_site_type_symbol
_atom_site_fract_x
_atom_site_fract_y
_atom_site_fract_z
_atom_site_occupancy
Nd1 Nd 0.000 0.067 0.250 1
Nd2 Nd 0.094 0.392 0.928 1
Nd3 Nd 0.219 0.069 0.313 1
Pt1 Pt 0.112 0.200 0.574 1
```

[6]
A plane-wave DFT calculation with PBE-GGA was carried out for AlTlH6Os after structural relaxation.

## Properties
Total DFT energy (no corrections) in eV per atom: -3.088

```
data_AlTlH6Os
_cell_length_a 6.610
_cell_length_b 6.610
_cell_length_c 6.610
_cell_angle_alpha 90.00
_cell_angle_beta 90.00
_cell_angle_gamma 90.00
_space_group_name_H-M_alt 'F -4 3 m'
_space_group_IT_number 216
_space_group_name_Hall 'F -4 2 3'
loop_
_atom_site_label
_atom_site_type_symbol
_atom_site_fract_x
_atom_site_fract_y
_atom_site_fract_z
_atom_site_occupancy
Al1 Al 0.000 0.000 0.000 1
Tl1 Tl 0.250 0.250 0.750 1
H1 H 0.098 0.250 0.250 1
Os1 Os 0.000 0.000 0.500 1
```

[7]
A plane-wave DFT calculation with PBE-GGA was carried out for GdDy2Mg3Al2Cd after structural relaxation.

## Properties
Total DFT energy (no corrections) in eV per atom: -3.304

```
data_GdDy2Mg3Al2Cd
_cell_length_a 4.552
_cell_length_b 12.870
_cell_length_c 7.421
_cell_angle_alpha 90.00
_cell_angle_beta 90.00
_cell_angle_gamma 90.00
_space_group_name_H-M_alt 'A m m 2'
_space_group_IT_number 38
loop_
_space_group_symop_operation_xyz
'x,y,z'
'-x,-y,z'
'-x,y,z'
'x,-y,z'
'x,y+1/2,z+1/2'
'-x,-y+1/2,z+1/2'
'-x,y+1/2,z+1/2'
'x,-y+1/2,z+1/2'
loop_
_atom_site_label
_atom_site_type_symbol
_atom_site_fract_x
_atom_site_fract_y
_atom_site_fract_z
_atom_site_occupancy
Gd1 Gd 0.000 0.000 0.000 1
Dy1 Dy 0.000 0.214 0.358 1
Mg1 Mg 0.500 0.000 0.326 1
Mg2 Mg 0.500 0.123 0.695 1
Al1 Al 0.500 0.167 0.072 1
Cd1 Cd 0.000 0.000 0.571 1
```

[8]
A plane-wave DFT calculation with PBE-GGA was carried out for Pa2Al3Au after structural relaxation.

## Properties
Total DFT energy (no corrections) in eV per atom: -5.997

```
data_Pa2Al3Au
_cell_length_a 5.6656
_cell_length_b 5.6656
_cell_length_c 8.5415
_cell_angle_alpha 90.00
_cell_angle_beta 90.00
_cell_angle_gamma 120.00
_space_group_name_H-M_alt 'P 63/m m c'
_space_group_IT_number 194
_space_group_name_Hall '-P 6c 2c'
loop_
_atom_site_label
_atom_site_type_symbol
_atom_site_fract_x
_atom_site_fract_y
_atom_site_fract_z
_atom_site_occupancy
Pa1 Pa 0.3333 0.6667 0.0896 1
Al1 Al 0.1729 0.3458 0.7500 1
Au1 Au 0.0000 0.0000 0.0000 1
```

[9]
A plane-wave DFT calculation with PBE-GGA was carried out for NaTbB4 after structural relaxation.

## Properties
Total DFT energy (no corrections) in eV per atom: -5.519
Polymorph energy (0 for the lowest one) in eV per formula unit: 0.000

```
data_NaTbB4
_cell_length_a 3.158
_cell_length_b 5.557
_cell_length_c 8.018
_cell_angle_alpha 90.00
_cell_angle_beta 90.00
_cell_angle_gamma 90.00
_space_group_name_H-M_alt 'I m m m'
_space_group_IT_number 71
_space_group_name_Hall '-I 2 2'
loop_
_atom_site_label
_atom_site_type_symbol
_atom_site_fract_x
_atom_site_fract_y
_atom_site_fract_z
_atom_site_occupancy
Na1 Na 0.000 0.000 0.000 1
Tb1 Tb 0.000 0.000 0.500 1
B1 B 0.000 0.320 0.243 1
```

[10]
A plane-wave DFT calculation with PBE-GGA was carried out for ErHPd3 after structural relaxation.

## Properties
Total DFT energy (no corrections) in eV per atom: -5.441

```
data_ErHPd3
_cell_length_a 4.129
_cell_length_b 4.129
_cell_length_c 4.129
_cell_angle_alpha 90.00
_cell_angle_beta 90.00
_cell_angle_gamma 90.00
_space_group_name_H-M_alt 'P m -3 m'
_space_group_IT_number 221
_space_group_name_Hall '-P 4 2 3'
loop_
_atom_site_label
_atom_site_type_symbol
_atom_site_fract_x
_atom_site_fract_y
_atom_site_fract_z
_atom_site_occupancy
Er1 Er 0.000 0.000 0.000 1
H1 H 0.500 0.500 0.500 1
Pd1 Pd 0.000 0.500 0.500 1
```

[11]
A plane-wave DFT calculation with PBE-GGA was carried out for TaPPtO after structural relaxation.

## Properties
Total DFT energy (no corrections) in eV per atom: -7.931
Polymorph energy (0 for the lowest one) in eV per formula unit: 0.235

```
data_TaPPtO
_cell_length_a 3.655
_cell_length_b 3.655
_cell_length_c 7.912
_cell_angle_alpha 90.00
_cell_angle_beta 90.00
_cell_angle_gamma 90.00
_space_group_name_H-M_alt 'P 4/n m m'
_space_group_IT_number 129
loop_
_space_group_symop_operation_xyz
'x,y,z'
'-x,-y,-z'
'-y+1/2,x,z'
'y+1/2,-x,-z'
'-x+1/2,-y+1/2,z'
'x+1/2,y+1/2,-z'
'y,-x+1/2,z'
'-y,x+1/2,-z'
'x+1/2,-y,-z'
'-x+1/2,y,z'
'-y,-x,-z'
'y,x,z'
'-x,y+1/2,-z'
'x,-y+1/2,z'
'y+1/2,x+1/2,-z'
'-y+1/2,-x+1/2,z'
loop_
_atom_site_label
_atom_site_type_symbol
_atom_site_fract_x
_atom_site_fract_y
_atom_site_fract_z
_atom_site_occupancy
Ta1 Ta 0.250 0.250 0.162 1
P1 P 0.250 0.250 0.718 1
Pt1 Pt 0.250 0.750 0.500 1
O1 O 0.250 0.750 0.000 1
```

[12]
A plane-wave DFT calculation with PBE-GGA was carried out for BPdNO after structural relaxation.

## Properties
Total DFT energy (no corrections) in eV per atom: -5.708
Polymorph energy (0 for the lowest one) in eV per formula unit: 4.995

```
data_BPdNO
_cell_length_a 3.191
_cell_length_b 3.191
_cell_length_c 8.025
_cell_angle_alpha 90.00
_cell_angle_beta 90.00
_cell_angle_gamma 90.00
_space_group_name_H-M_alt 'P 4/n m m'
_space_group_IT_number 129
loop_
_space_group_symop_operation_xyz
'x,y,z'
'-x,-y,-z'
'-y+1/2,x,z'
'y+1/2,-x,-z'
'-x+1/2,-y+1/2,z'
'x+1/2,y+1/2,-z'
'y,-x+1/2,z'
'-y,x+1/2,-z'
'x+1/2,-y,-z'
'-x+1/2,y,z'
'-y,-x,-z'
'y,x,z'
'-x,y+1/2,-z'
'x,-y+1/2,z'
'y+1/2,x+1/2,-z'
'-y+1/2,-x+1/2,z'
loop_
_atom_site_label
_atom_site_type_symbol
_atom_site_fract_x
_atom_site_fract_y
_atom_site_fract_z
_atom_site_occupancy
B1 B 0.250 0.750 0.000 1
Pd1 Pd 0.250 0.250 0.324 1
N1 N 0.250 0.250 0.054 1
O1 O 0.250 0.750 0.500 1
```